No. 1
Sr2CaCd2: optimized geometry, PBE.

a = 5.271 Å, b = 5.271 Å, c = 7.943 Å
α = 70.62°, β = 70.62°, γ = 90.00°
Fractional positions:
1 Cd 0.599 0.599 0.802
2 Cd 0.401 0.401 0.198
3 Sr 0.750 0.250 0.500
4 Sr 0.250 0.750 0.500
5 Ca 0.000 0.000 0.000

Computed properties:
distance to the lowest polymorph of the same formula	0.183	eV per atom
density	3.75	g/cm³
space-group type	I4/mmm

=====

No. 2
SrCa2Cd: optimized geometry, PBE.

a = 6.490 Å, b = 6.490 Å, c = 6.490 Å
α = 131.89°, β = 131.89°, γ = 70.41°
Fractional positions:
1 Cd 0.500 0.500 0.000
2 Sr 0.750 0.250 0.500
3 Ca 0.000 0.000 0.000
4 Ca 0.250 0.750 0.500

Computed properties:
density	3.13	g/cm³
space-group type	I-4m2

=====

No. 3
Sr2Ca3Cd2: optimized geometry, PBE.

a = 4.021 Å, b = 3.900 Å, c = 16.961 Å
α = 90.00°, β = 96.81°, γ = 90.00°
Fractional positions:
1 Cd 0.867 0.000 0.735
2 Cd 0.133 0.000 0.265
3 Ca 0.000 0.000 0.000
4 Ca 0.581 0.500 0.161
5 Ca 0.419 0.500 0.839
6 Sr 0.695 0.500 0.390
7 Sr 0.305 0.500 0.610

Computed properties:
density	3.27	g/cm³
space-group type	Cmmm

=====

No. 4
Sr3CaCd4: optimized geometry, PBE.

a = 4.026 Å, b = 4.026 Å, c = 15.813 Å
α = 90.00°, β = 90.00°, γ = 90.00°
Fractional positions:
1 Cd 0.000 0.000 0.629
2 Cd 0.000 0.000 0.371
3 Cd 0.000 0.000 0.111
4 Cd 0.000 0.000 0.889
5 Sr 0.500 0.500 0.758
6 Sr 0.500 0.500 0.242
7 Sr 0.500 0.500 0.500
8 Ca 0.500 0.500 0.000

Computed properties:
density	4.87	g/cm³
space-group type	P4/mmm

=====

No. 5
SrCa2Cd: optimized geometry, PBE.

a = 3.924 Å, b = 3.924 Å, c = 9.910 Å
α = 90.00°, β = 90.00°, γ = 90.00°
Fractional positions:
1 Ca 0.000 0.000 0.062
2 Ca 0.000 0.000 0.438
3 Cd 0.500 0.500 0.250
4 Sr 0.500 0.500 0.750

Computed properties:
density	3.05	g/cm³
space-group type	P4/mmm

=====

No. 6
Sr4CaCd: optimized geometry, PBE.

a = 7.204 Å, b = 10.673 Å, c = 9.491 Å
α = 115.59°, β = 100.74°, γ = 110.08°
Fractional positions:
1 Sr 0.946 0.814 0.185
2 Sr 0.054 0.186 0.815
3 Sr 0.738 0.371 0.185
4 Sr 0.378 0.933 0.652
5 Sr 0.262 0.629 0.815
6 Sr 0.774 0.719 0.652
7 Sr 0.622 0.067 0.348
8 Sr 0.226 0.281 0.348
9 Cd 0.749 0.999 0.998
10 Cd 0.251 0.001 0.002
11 Ca 0.360 0.610 0.219
12 Ca 0.640 0.390 0.781

Computed properties:
distance to the lowest polymorph of the same formula	0.043	eV per atom
density	2.94	g/cm³
space-group type	C2/c

=====

No. 7
SrCa2Cd: optimized geometry, PBE.

a = 5.876 Å, b = 5.876 Å, c = 5.876 Å
α = 60.00°, β = 60.00°, γ = 60.00°
Fractional positions:
1 Ca 0.000 0.000 0.000
2 Ca 0.250 0.250 0.250
3 Sr 0.750 0.750 0.750
4 Cd 0.500 0.500 0.500

Computed properties:
density	3.24	g/cm³
space-group type	F-43m

=====

No. 8
SrCa2Cd: optimized geometry, PBE.

a = 5.115 Å, b = 6.735 Å, c = 9.783 Å
α = 90.00°, β = 90.00°, γ = 112.45°
Fractional positions:
1 Cd 0.233 0.465 0.250
2 Cd 0.767 0.535 0.750
3 Ca 0.650 0.300 0.057
4 Ca 0.350 0.700 0.943
5 Ca 0.650 0.300 0.443
6 Ca 0.350 0.700 0.557
7 Sr 0.059 0.118 0.750
8 Sr 0.941 0.882 0.250

Computed properties:
density	2.99	g/cm³
space-group type	P2_1/m

=====

No. 9
SrCa2Cd: optimized geometry, PBE.

a = 4.955 Å, b = 4.955 Å, c = 13.199 Å
α = 79.18°, β = 79.18°, γ = 90.00°
Fractional positions:
1 Ca 0.875 0.894 0.750
2 Ca 0.644 0.125 0.250
3 Ca 0.106 0.625 0.250
4 Ca 0.375 0.356 0.750
5 Sr 0.250 0.750 0.500
6 Sr 0.500 0.500 0.000
7 Cd 0.750 0.250 0.500
8 Cd 0.000 0.000 0.000

Computed properties:
density	2.98	g/cm³
space-group type	I-42d

=====

No. 10
SrCa4Cd5: optimized geometry, PBE.

a = 3.849 Å, b = 3.849 Å, c = 19.723 Å
α = 90.00°, β = 90.00°, γ = 90.00°
Fractional positions:
1 Cd 0.500 0.500 0.890
2 Cd 0.500 0.500 0.304
3 Cd 0.500 0.500 0.500
4 Cd 0.500 0.500 0.110
5 Cd 0.500 0.500 0.696
6 Sr 0.000 0.000 0.000
7 Ca 0.000 0.000 0.402
8 Ca 0.000 0.000 0.598
9 Ca 0.000 0.000 0.793
10 Ca 0.000 0.000 0.207

Computed properties:
density	4.60	g/cm³
space-group type	P4/mmm

=====

No. 11
SrCa6Cd2: optimized geometry, PBE.

a = 5.261 Å, b = 5.261 Å, c = 12.555 Å
α = 90.00°, β = 90.00°, γ = 90.00°
Fractional positions:
1 Ca 0.000 0.000 0.500
2 Ca 0.500 0.500 0.500
3 Ca 0.000 0.500 0.266
4 Ca 0.500 0.000 0.734
5 Ca 0.000 0.500 0.734
6 Ca 0.500 0.000 0.266
7 Cd 0.500 0.500 0.888
8 Cd 0.500 0.500 0.112
9 Sr 0.000 0.000 0.000

Computed properties:
distance to the lowest polymorph of the same formula	0.041	eV per atom
density	2.64	g/cm³
space-group type	P4/mmm

=====

No. 12
SrCa2Cd9: optimized geometry, PBE.

a = 6.077 Å, b = 6.077 Å, c = 10.297 Å
α = 72.84°, β = 72.84°, γ = 60.00°
Fractional positions:
1 Cd 0.589 0.589 0.744
2 Cd 0.077 0.589 0.744
3 Cd 0.923 0.411 0.256
4 Cd 0.411 0.923 0.256
5 Cd 0.335 0.335 0.994
6 Cd 0.500 0.500 0.500
7 Cd 0.411 0.411 0.256
8 Cd 0.665 0.665 0.006
9 Cd 0.589 0.077 0.744
10 Sr 0.000 0.000 0.000
11 Ca 0.856 0.856 0.432
12 Ca 0.144 0.144 0.568

Computed properties:
density	6.33	g/cm³
space-group type	R-3m

=====

Calculated raw total energy, -1.526, -1.713, -1.774, -1.668, -1.815, -1.668, -1.721, -1.829, -1.572, -1.774, -1.826, -1.431 eV/atom (same order as the records).